First-principles (meta-GGA SCAN) data for a crystal of CsSF2 relaxed with PBEsol, as listed in Alexandria via LeMat-Bulk.

Properties
Space-group type: R-3m (166)
DOS(E_F) (states/eV per cell): 2.9
Electronic total energy (eV per atom): -15.22

Cell and atoms, written as POSCAR:
```
CsSF2
1.0
-2.221 1.686 -3.885
-4.693 -0.722 -0.574
-3.410 5.287 1.301
Cs S F
1 1 2
Direct
0.500 0.500 0.500
0.000 0.000 0.000
0.894 0.894 0.317
0.106 0.106 0.683
```

=====

First-principles (meta-GGA SCAN) data for a crystal of CaMgSb2 relaxed with PBEsol, as listed in Alexandria via LeMat-Bulk.

Properties
Space-group type: Pmmm (47)
DOS(E_F) (states/eV per cell): 1.8
Electronic total energy (eV per atom): -22.78

Cell and atoms, written as POSCAR:
```
CaMgSb2
1.0
3.662 0.000 0.000
0.000 4.136 0.000
0.000 0.000 6.759
Ca Mg Sb
1 1 2
Direct
0.500 0.500 0.000
0.500 0.500 0.500
0.000 0.000 0.736
0.000 0.000 0.264
```

=====

Question: What is the formula in the first record?
Answer: CsSF2

=====

Copy entry 1 word for word.
First-principles (meta-GGA SCAN) data for a crystal of CsSF2 relaxed with PBEsol, as listed in Alexandria via LeMat-Bulk.

Properties
Space-group type: R-3m (166)
DOS(E_F) (states/eV per cell): 2.9
Electronic total energy (eV per atom): -15.22

Cell and atoms, written as POSCAR:
```
CsSF2
1.0
-2.221 1.686 -3.885
-4.693 -0.722 -0.574
-3.410 5.287 1.301
Cs S F
1 1 2
Direct
0.500 0.500 0.500
0.000 0.000 0.000
0.894 0.894 0.317
0.106 0.106 0.683
```

=====

Question: Which of these has the highest electronic total energy?
Answer: CsSF2

=====

Copy entry 1 word for word.
First-principles (meta-GGA SCAN) data for a crystal of CsSF2 relaxed with PBEsol, as listed in Alexandria via LeMat-Bulk.

Properties
Space-group type: R-3m (166)
DOS(E_F) (states/eV per cell): 2.9
Electronic total energy (eV per atom): -15.22

Cell and atoms, written as POSCAR:
```
CsSF2
1.0
-2.221 1.686 -3.885
-4.693 -0.722 -0.574
-3.410 5.287 1.301
Cs S F
1 1 2
Direct
0.500 0.500 0.500
0.000 0.000 0.000
0.894 0.894 0.317
0.106 0.106 0.683
```